Below is a PBEsol-optimized structure of Sr2AgPt, with properties calculated at the meta-GGA SCAN level.

extended XYZ file:
```
4
Lattice="3.7742 0.0000 0.0000 0.0000 5.1802 0.0000 -0.0052 0.0000 5.1847" Properties=species:S:1:pos:R:3 pbc="T T T"
Sr 0.0000 0.0000 0.0000
Sr 0.0002 2.5901 2.5905
Ag 1.8853 0.0000 2.5937
Pt 1.8847 2.5901 5.1810
```

**Theoretical density**: 7.834 g cm⁻³
**Total magnetization**: 0.00 μB/atom
**DOS(E_F)**: 1.7 states/eV/f.u.
**Offset from the most stable computed form**: 0.086 eV per atom
**Formation enthalpy at 0 K**: -0.57 eV per atom
**E**: -37.095 eV per atom



Below is a PBEsol-optimized structure of NaCrMo2P, with properties calculated at the meta-GGA SCAN level.

extended XYZ file:
```
5
Lattice="4.3423 0.0000 0.0000 0.0000 4.3423 0.0000 0.0000 0.0000 4.8905" Properties=species:S:1:pos:R:3 pbc="T T T"
Na 0.0000 0.0000 0.0000
Cr 0.0000 0.0000 2.4452
Mo 0.0000 2.1711 2.4452
Mo 2.1711 0.0000 2.4452
P 2.1711 2.1711 0.0000
```

**Theoretical density**: 5.364 g cm⁻³
**Total magnetization**: 0.12 μB/atom
**DOS(E_F)**: 3.6 states/eV/f.u.
**Formation enthalpy at 0 K**: 1.50 eV per atom
**E**: -19.055 eV per atom